K3SrNp2S6 | GGA-PBE | optimized geometry

Cell: 7.215 7.215 7.746 Å, 98.99 98.99 120.00°
Fractional coordinates of all 12 atoms:
K (0.000, 0.000, 0.000)
K (0.338, 0.662, 0.000)
K (0.662, 0.338, 0.000)
Sr (0.500, 0.500, 0.500)
Np (0.167, 0.833, 0.500)
Np (0.833, 0.167, 0.500)
S (0.074, 0.432, 0.297)
S (0.210, 0.210, 0.703)
S (0.432, 0.074, 0.297)
S (0.568, 0.926, 0.703)
S (0.790, 0.790, 0.297)
S (0.926, 0.568, 0.703)

E_form (uncorrected) (eV per formula unit): -18.31
Symmetry: C2/m (12)



La2TlIO8 | GGA-PBE | optimized geometry

Cell: 4.986 5.005 7.539 Å, 91.41 91.52 94.36°
Fractional coordinates of all 12 atoms:
La (0.043, 0.041, 0.259)
La (0.957, 0.959, 0.741)
Tl (0.500, 0.500, 0.000)
I (0.500, 0.500, 0.500)
O (0.202, 0.204, 0.981)
O (0.220, 0.230, 0.535)
O (0.287, 0.639, 0.312)
O (0.367, 0.721, 0.685)
O (0.633, 0.279, 0.315)
O (0.713, 0.361, 0.688)
O (0.780, 0.770, 0.465)
O (0.798, 0.796, 0.019)

E_form (uncorrected) (eV per formula unit): -20.75
Symmetry: P-1 (2)